Computed, not measured: YMoIr2 after structural relaxation at the GGA-PBE level of DFT.

Results
Density of states at the Fermi level ... 1.280 states/eV per atom
Final energy ... -35.4 eV/cell
Calculated formation energy ... -105 meV/atom
Total magnetization ... 1.169 μB per cell

a b c (Å): 4.291 4.291 3.794
angles (deg): 90.00 90.00 90.00
Space group P4/mmm (No. 123)
Inequivalent atoms, fractional coordinates:
1 Y 0.000 0.000 0.000
2 Mo 0.500 0.500 0.000
3 Ir 0.000 0.500 0.500

Computed, not measured: Y2MoIr after structural relaxation at the GGA-PBE level of DFT.

Results
Density of states at the Fermi level ... 1.014 states/eV per atom
Final energy ... -33.4 eV/cell
Calculated formation energy ... -186 meV/atom
Total magnetization ... 0.000 μB per cell

a b c (Å): 4.414 4.172 5.670
angles (deg): 90.00 112.79 90.00
Space group Pm (No. 6)
Inequivalent atoms, fractional coordinates:
1 Y 0.000 0.000 0.000
2 Y 0.295 0.500 0.593
3 Mo 0.593 0.500 0.186
4 Ir 0.709 0.000 0.422

Look up the calculated formation energy of the first one. -105 meV/atom